# Na3TaS

A relaxed structure of Na3TaS (PBE, Alexandria). Values from VASP.

Cell and atoms, written as Quantum ESPRESSO input:
```
&SYSTEM
  ibrav = 0, nat = 5, ntyp = 3
/
ATOMIC_SPECIES
Na 22.99 Na.upf
Ta 180.95 Ta.upf
S 32.06 S.upf
CELL_PARAMETERS angstrom
5.834 0.000 0.000
0.000 5.834 0.000
0.000 0.000 5.834
ATOMIC_POSITIONS crystal
Na 0.000 0.500 0.000
Ta 0.000 0.000 0.000
S 0.500 0.500 0.500
Na 0.000 0.000 0.500
Na 0.500 0.000 0.000
```

## Properties
E (eV/atom): -2.52
ρ (g/cm3): 2.4
Space-group type: Pm-3m
Total magnetic moment (μB/cell): 4.00
E above lowest polymorph (meV/atom): 768.7
Formation energy (no corrections) (meV/atom): 1465